Here is crystalline TbTh2Ni at its relaxed geometry from the Alexandria database. Energies are from GGA-PBE.

- DFT formation energy: -6.18 kJ per mole of atoms
- ΔE to the lowest computed polymorph: 0.153 eV/atom

Cell and atoms, written as POSCAR:
```
TbTh2Ni
1.0
1.8694 1.0793 9.3225
-1.8694 1.0793 9.3225
0.0000 -2.1586 9.3225
Tb Th Ni
1 2 1
Direct
0.0000 0.0000 0.0000
0.5664 0.5664 0.5664
0.7716 0.7716 0.7716
0.1699 0.1699 0.1699
```

Here is crystalline Ho5AgS8 at its relaxed geometry from the Alexandria database. Energies are from GGA-PBE.

- Formation energy from raw total energies: -42.3 kcal/mol of atoms

Cell and atoms, written as POSCAR:
```
Ho5AgS8
1.0
0.0000 5.6517 5.6517
5.6517 0.0000 5.6517
5.6517 5.6517 0.0000
Ho Ag S
5 1 8
Direct
0.0000 0.0000 0.0000
0.3793 0.3793 0.3793
0.3793 0.3793 0.8620
0.3793 0.8620 0.3793
0.8620 0.3793 0.3793
0.7500 0.7500 0.7500
0.1334 0.1334 0.1334
0.1334 0.1334 0.5997
0.1334 0.5997 0.1334
0.1487 0.6171 0.6171
0.5997 0.1334 0.1334
0.6171 0.1487 0.6171
0.6171 0.6171 0.1487
0.6171 0.6171 0.6171
```

Here is crystalline DyPu2CoN4 at its relaxed geometry from the Alexandria database. Energies are from GGA-PBE.

- Formation energy from raw total energies: -24.1 kcal/mol of atoms

Cell and atoms, written as POSCAR:
```
DyPu2CoN4
1.0
1.6908 -5.5803 0.0000
1.6908 5.5803 0.0000
0.0000 0.0000 11.3787
Dy Pu Co N
2 4 2 8
Direct
0.1062 0.8938 0.7500
0.8938 0.1062 0.2500
0.3691 0.6309 0.5574
0.3691 0.6309 0.9426
0.6309 0.3691 0.0574
0.6309 0.3691 0.4426
0.1554 0.8446 0.2500
0.8446 0.1554 0.7500
0.0000 0.0000 0.0000
0.0000 0.0000 0.5000
0.2670 0.7330 0.1171
0.2670 0.7330 0.3829
0.4518 0.5482 0.7500
0.5482 0.4518 0.2500
0.7330 0.2670 0.6171
0.7330 0.2670 0.8829
```

Here is crystalline Th2TlCoAg at its relaxed geometry from the Alexandria database. Energies are from GGA-PBE.

- DFT formation energy: -16.74 kJ per mole of atoms

Cell and atoms, written as POSCAR:
```
Th2TlCoAg
1.0
7.7129 0.0000 0.0000
0.0000 3.9619 0.0000
-3.6479 0.0000 8.2137
Th Tl Co Ag
4 2 2 2
Direct
0.0270 0.2500 0.1877
0.4439 0.7500 0.1489
0.5561 0.2500 0.8511
0.9730 0.7500 0.8123
0.3353 0.7500 0.4968
0.6647 0.2500 0.5032
0.2302 0.2500 0.9615
0.7698 0.7500 0.0385
0.1219 0.2500 0.6125
0.8781 0.7500 0.3875
```

Here is crystalline Y5Tm2Pu at its relaxed geometry from the Alexandria database. Energies are from GGA-PBE.

- DFT formation energy: 15.67 kJ per mole of atoms

Cell and atoms, written as POSCAR:
```
Y5Tm2Pu
1.0
2.8146 -4.8538 0.0000
2.8146 4.8538 0.0000
0.0000 0.0000 18.3621
Y Tm Pu
10 4 2
Direct
0.0012 0.9988 0.5845
0.0012 0.9988 0.9155
0.3304 0.6696 0.2500
0.3354 0.6646 0.6555
0.3354 0.6646 0.8445
0.6646 0.3354 0.1555
0.6646 0.3354 0.3445
0.6696 0.3304 0.7500
0.9988 0.0012 0.0845
0.9988 0.0012 0.4155
0.3330 0.6670 0.0381
0.3330 0.6670 0.4619
0.6670 0.3330 0.5381
0.6670 0.3330 0.9619
0.0034 0.9966 0.7500
0.9966 0.0034 0.2500
```

Here is crystalline LaDy3Pt at its relaxed geometry from the Alexandria database. Energies are from GGA-PBE.

- DFT formation energy: -38.49 kJ per mole of atoms

Cell and atoms, written as POSCAR:
```
LaDy3Pt
1.0
5.5075 0.0000 0.0000
0.0000 5.5075 0.0000
0.0000 0.0000 5.5075
La Dy Pt
1 3 1
Direct
0.0000 0.0000 0.0000
0.0000 0.5000 0.5000
0.5000 0.0000 0.5000
0.5000 0.5000 0.0000
0.5000 0.5000 0.5000
```

Here is crystalline U2ReNi at its relaxed geometry from the Alexandria database. Energies are from GGA-PBE.

- DFT formation energy: 30.47 kJ per mole of atoms

Cell and atoms, written as POSCAR:
```
U2ReNi
1.0
4.3214 -1.5581 0.0000
4.3214 1.5581 0.0000
-0.0795 0.0000 5.5378
U Re Ni
2 1 1
Direct
0.2138 0.2138 0.2701
0.7862 0.7862 0.7299
0.5000 0.5000 0.0000
0.5000 0.5000 0.5000
```

Here is crystalline UCr2Ag2S6 at its relaxed geometry from the Alexandria database. Energies are from GGA-PBE.

- Formation energy from raw total energies: -14.7 kcal/mol of atoms

Cell and atoms, written as POSCAR:
```
UCr2Ag2S6
1.0
3.0612 -5.1029 0.0000
3.0612 5.1029 0.0000
-0.1309 0.0000 6.8404
U Cr Ag S
1 2 2 6
Direct
0.0000 0.0000 0.0000
0.3583 0.6417 0.0000
0.6417 0.3583 0.0000
0.1394 0.8606 0.5000
0.8606 0.1394 0.5000
0.0050 0.3807 0.1971
0.3520 0.3520 0.7753
0.3807 0.0050 0.1971
0.6193 0.9950 0.8029
0.6480 0.6480 0.2247
0.9950 0.6193 0.8029
```

Here is crystalline CdHRh3 at its relaxed geometry from the Alexandria database. Energies are from GGA-PBE.

- ΔE to the lowest computed polymorph: 0.000 eV/atom

Cell and atoms, written as POSCAR:
```
CdHRh3
1.0
4.0022 0.0000 0.0000
0.0000 4.0022 0.0000
0.0000 0.0000 4.0022
Cd H Rh
1 1 3
Direct
0.0000 0.0000 0.0000
0.5000 0.5000 0.5000
0.0000 0.5000 0.5000
0.5000 0.0000 0.5000
0.5000 0.5000 0.0000
```

Here is crystalline In2AgSbPt at its relaxed geometry from the Alexandria database. Energies are from GGA-PBE.

- Formation energy from raw total energies: 3.3 kcal/mol of atoms

Cell and atoms, written as POSCAR:
```
In2AgSbPt
1.0
5.1115 0.0000 0.0000
0.0000 5.1115 0.0000
0.0000 0.0000 5.2814
In Ag Sb Pt
2 1 1 1
Direct
0.0000 0.5000 0.0000
0.5000 0.0000 0.0000
0.0000 0.0000 0.5000
0.5000 0.5000 0.5000
0.0000 0.0000 0.0000
```

Here is crystalline ZrCoCu at its relaxed geometry from the Alexandria database. Energies are from GGA-PBE.

- DFT formation energy: 9.00 kJ per mole of atoms
- ΔE to the lowest computed polymorph: 0.349 eV/atom

Cell and atoms, written as POSCAR:
```
ZrCoCu
1.0
0.0000 2.9362 2.9362
2.9362 0.0000 2.9362
2.9362 2.9362 0.0000
Zr Co Cu
1 1 1
Direct
0.0000 0.0000 0.0000
0.7500 0.7500 0.7500
0.5000 0.5000 0.5000
```

Here is crystalline Nb2TcRu at its relaxed geometry from the Alexandria database. Energies are from GGA-PBE.

- DFT formation energy: -27.09 kJ per mole of atoms

Cell and atoms, written as POSCAR:
```
Nb2TcRu
1.0
3.1882 0.0000 0.0000
0.0000 3.1882 0.0000
0.0000 0.0000 6.3609
Nb Tc Ru
2 1 1
Direct
0.0000 0.0000 0.2459
0.0000 0.0000 0.7541
0.5000 0.5000 0.0000
0.5000 0.5000 0.5000
```

Here is crystalline Hg5Pb4 at its relaxed geometry from the Alexandria database. Energies are from GGA-PBE.

- DFT formation energy: 3.52 kJ per mole of atoms
- ΔE to the lowest computed polymorph: 0.004 eV/atom

Cell and atoms, written as POSCAR:
```
Hg5Pb4
1.0
-4.8828 4.8828 2.6986
4.8828 -4.8828 2.6986
4.8828 4.8828 -2.6986
Hg Pb
5 4
Direct
0.0000 0.0000 0.0000
0.0000 0.3327 0.3327
0.0000 0.6673 0.6673
0.3327 0.0000 0.3327
0.6673 0.0000 0.6673
0.3260 0.3260 0.6521
0.3260 0.6740 0.0000
0.6740 0.3260 0.0000
0.6740 0.6740 0.3479
```

Here is crystalline ZnCdP2 at its relaxed geometry from the Alexandria database. Energies are from GGA-PBE.

- DFT formation energy: 15.97 kJ per mole of atoms
- ΔE to the lowest computed polymorph: 0.105 eV/atom

Cell and atoms, written as POSCAR:
```
ZnCdP2
1.0
2.6934 0.0000 0.0000
0.0000 3.3743 0.0000
-1.2751 0.0000 8.0389
Zn Cd P
1 1 2
Direct
0.0000 0.0000 0.0000
0.3745 0.5000 0.7455
0.1270 0.5000 0.2534
0.2171 0.0000 0.4446
```

Here is crystalline TbGe12Pt4 at its relaxed geometry from the Alexandria database. Energies are from GGA-PBE.

- DFT formation energy: -34.67 kJ per mole of atoms

Cell and atoms, written as POSCAR:
```
TbGe12Pt4
1.0
-4.3542 4.3542 4.3542
4.3542 -4.3542 4.3542
4.3542 4.3542 -4.3542
Tb Ge Pt
1 12 4
Direct
0.0000 0.0000 0.0000
0.1498 0.3534 0.5032
0.1498 0.6466 0.7964
0.2036 0.8502 0.3534
0.3534 0.2036 0.8502
0.3534 0.5032 0.1498
0.4968 0.8502 0.6466
0.5032 0.1498 0.3534
0.6466 0.4968 0.8502
0.6466 0.7964 0.1498
0.7964 0.1498 0.6466
0.8502 0.3534 0.2036
0.8502 0.6466 0.4968
0.0000 0.0000 0.5000
0.0000 0.5000 0.0000
0.5000 0.0000 0.0000
0.5000 0.5000 0.5000
```

Here is crystalline CrSiMo2 at its relaxed geometry from the Alexandria database. Energies are from GGA-PBE.

- Formation energy from raw total energies: -1.2 kcal/mol of atoms

Cell and atoms, written as POSCAR:
```
CrSiMo2
1.0
0.0000 3.0326 3.0326
3.0326 0.0000 3.0326
3.0326 3.0326 0.0000
Cr Si Mo
1 1 2
Direct
0.0000 0.0000 0.0000
0.2500 0.2500 0.2500
0.5000 0.5000 0.5000
0.7500 0.7500 0.7500
```

Here is crystalline CePm3Si2 at its relaxed geometry from the Alexandria database. Energies are from GGA-PBE.

- Formation energy from raw total energies: -4.2 kcal/mol of atoms

Cell and atoms, written as POSCAR:
```
CePm3Si2
1.0
3.8038 2.1962 6.8007
-3.8038 2.1962 6.8007
0.0000 -4.3923 6.8007
Ce Pm Si
2 6 4
Direct
0.0000 0.0000 0.0000
0.5000 0.5000 0.5000
0.0259 0.7500 0.4741
0.2500 0.5259 0.9741
0.4741 0.0259 0.7500
0.5259 0.9741 0.2500
0.7500 0.4741 0.0259
0.9741 0.2500 0.5259
0.1444 0.1444 0.1444
0.3556 0.3556 0.3556
0.6444 0.6444 0.6444
0.8556 0.8556 0.8556
```

Here is crystalline ZrIn2Se at its relaxed geometry from the Alexandria database. Energies are from GGA-PBE.

- Formation energy from raw total energies: -5.3 kcal/mol of atoms

Cell and atoms, written as POSCAR:
```
ZrIn2Se
1.0
3.4398 0.0000 0.0000
0.0000 4.7150 0.0000
0.0000 0.0000 5.6907
Zr In Se
1 2 1
Direct
0.0000 0.0000 0.0000
0.0000 0.5000 0.5000
0.5000 0.0000 0.5000
0.5000 0.5000 0.0000
```

Here is crystalline Sn3Bi12Au5 at its relaxed geometry from the Alexandria database. Energies are from GGA-PBE.

- DFT formation energy: 15.59 kJ per mole of atoms

Cell and atoms, written as POSCAR:
```
Sn3Bi12Au5
1.0
-8.7555 8.7555 8.7555
8.7555 -8.7555 8.7555
8.7555 8.7555 -8.7555
Sn Bi Au
12 48 20
Direct
0.1250 0.2500 0.3750
0.1250 0.3750 0.7500
0.2500 0.3750 0.1250
0.2500 0.8750 0.6250
0.3750 0.1250 0.2500
0.3750 0.7500 0.1250
0.6250 0.2500 0.8750
0.6250 0.8750 0.7500
0.7500 0.1250 0.3750
0.7500 0.6250 0.8750
0.8750 0.6250 0.2500
0.8750 0.7500 0.6250
0.0523 0.2218 0.1393
0.0523 0.3306 0.9130
0.0825 0.7218 0.6694
0.0825 0.8607 0.4130
0.0870 0.6393 0.4175
0.0870 0.9477 0.6694
0.1393 0.0523 0.2218
0.1393 0.5870 0.9175
0.1694 0.2218 0.5825
0.1694 0.4477 0.5870
0.2218 0.1393 0.0523
0.2218 0.5825 0.1694
0.2782 0.3306 0.9175
0.2782 0.4477 0.3607
0.3306 0.9130 0.0523
0.3306 0.9175 0.2782
0.3607 0.2782 0.4477
0.3607 0.5825 0.9130
0.4130 0.0825 0.8607
0.4130 0.8306 0.5523
0.4175 0.0870 0.6393
0.4175 0.8306 0.7782
0.4477 0.3607 0.2782
0.4477 0.5870 0.1694
0.5523 0.4130 0.8306
0.5523 0.6393 0.7218
0.5825 0.1694 0.2218
0.5825 0.9130 0.3607
0.5870 0.1694 0.4477
0.5870 0.9175 0.1393
0.6393 0.4175 0.0870
0.6393 0.7218 0.5523
0.6694 0.0825 0.7218
0.6694 0.0870 0.9477
0.7218 0.5523 0.6393
0.7218 0.6694 0.0825
0.7782 0.4175 0.8306
0.7782 0.8607 0.9477
0.8306 0.5523 0.4130
0.8306 0.7782 0.4175
0.8607 0.4130 0.0825
0.8607 0.9477 0.7782
0.9130 0.0523 0.3306
0.9130 0.3607 0.5825
0.9175 0.1393 0.5870
0.9175 0.2782 0.3306
0.9477 0.6694 0.0870
0.9477 0.7782 0.8607
0.0000 0.0000 0.0000
0.0000 0.0000 0.5000
0.0000 0.5000 0.0000
0.0000 0.5000 0.5000
0.1250 0.7500 0.8750
0.1250 0.8750 0.2500
0.2500 0.1250 0.8750
0.2500 0.6250 0.3750
0.3750 0.2500 0.6250
0.3750 0.6250 0.7500
0.5000 0.0000 0.0000
0.5000 0.0000 0.5000
0.5000 0.5000 0.0000
0.5000 0.5000 0.5000
0.6250 0.3750 0.2500
0.6250 0.7500 0.3750
0.7500 0.3750 0.6250
0.7500 0.8750 0.1250
0.8750 0.1250 0.7500
0.8750 0.2500 0.1250
```

Here is crystalline Hg4S2I3 at its relaxed geometry from the Alexandria database. Energies are from GGA-PBE.

- Formation energy from raw total energies: -2.3 kcal/mol of atoms
- ΔE to the lowest computed polymorph: 0.000 eV/atom

Cell and atoms, written as POSCAR:
```
Hg4S2I3
1.0
6.6737 -7.2086 0.0000
6.6737 7.2086 0.0000
-1.7858 0.0000 6.8096
Hg S I
8 4 6
Direct
0.0106 0.7764 0.9452
0.2236 0.9894 0.5548
0.3319 0.3391 0.4217
0.3391 0.3319 0.9217
0.6609 0.6681 0.0783
0.6681 0.6609 0.5783
0.7764 0.0106 0.4452
0.9894 0.2236 0.0548
0.1930 0.4224 0.1516
0.4224 0.1930 0.6516
0.5776 0.8070 0.3484
0.8070 0.5776 0.8484
0.0114 0.7595 0.4422
0.2405 0.9886 0.0578
0.3806 0.6194 0.7500
0.6194 0.3806 0.2500
0.7595 0.0114 0.9422
0.9886 0.2405 0.5578
```

Calculated density in order - 10031; 5469; 11839; 11052; 6794; 8166; 16054; 5829; 10935; 7874; 7009; 9885; 11819; 5450; 9107; 8096; 6151; 7193; 9522; 6322 kg/m³
Calculated DOS(E_F) in order - 6.6; 0.0; 22.3; 6.5; 34.2; 8.6; 9.0; 5.2; 3.9; 3.2; 0.9; 2.4; 3.6; 1.6; 11.6; 3.5; 16.0; 3.0; 37.4; 8.5 states/eV/cell
Calculated uncorrected energy in order - -6.38; -6.03; -10.26; -5.61; -6.79; -5.35; -9.89; -6.18; -5.29; -3.56; -6.49; -10.23; -1.78; -3.09; -5.31; -9.23; -5.35; -4.61; -3.59; -1.67 eV per atom